# CoMo2P

A relaxed CoMo2P crystal (PBE, the Alexandria database).

Lattice parameters (Å, degrees): 2.8407 2.8407 6.6766 90.00 90.00 90.00
With the nearest neighbours (Å) after each atom.
Fractional positions:
1 Co 0.5000 0.5000 0.7110  4 P 2.38
2 Mo 0.0000 0.0000 0.9768  4 Co 2.68, 8 Mo 2.84-2.91
3 Mo 0.5000 0.5000 0.2931  4 P 2.51, 1 Co 2.79
4 P 0.0000 0.0000 0.5191  4 Co 2.38, 4 Mo 2.51

Results
Space group = P4mm
D(E_F) = 1.1538 states/eV per atom
E_form = 1 kJ/mol of formula units
Total moment = 0.17 μB per atom